(i)
SmAl2Zn9 | PBE | relaxed

Calculated values
The magnetic moment is 0.00 μB per formula unit.

```
12
Lattice="-1.079 -0.843 -3.008 -3.561 -7.109 3.270 -4.546 7.286 -0.413" Properties=species:S:1:pos:R:3 pbc="T T T"
Zn -2.273 3.643 -0.206
Zn -6.512 1.023 0.232
Zn -4.280 -4.898 1.092
Zn -4.905 4.231 -1.243
Sm 0.000 0.000 0.000
Zn -2.853 0.943 -1.057
Al -4.218 2.487 0.815
Al -3.889 -2.311 2.042
Zn -1.780 -3.555 1.635
Zn -4.053 0.088 1.429
Zn -6.332 -1.610 0.906
Zn -2.673 -1.690 -0.384
```

---

(ii)
SmAl2Zn9 | PBE | relaxed

Calculated values
The magnetic moment is 0.00 μB per formula unit.

```
24
Lattice="6.391 0.000 2.942 3.195 7.497 1.471 0.060 0.000 8.281" Properties=species:S:1:pos:R:3 pbc="T T T"
Zn 5.396 6.196 5.912
Zn 2.375 0.634 6.652
Sm 3.195 0.000 1.471
Zn 7.447 6.196 8.253
Al 6.406 1.874 5.013
Zn 4.107 3.114 8.712
Zn 6.154 4.383 4.265
Zn 2.989 6.863 6.935
Zn 2.230 5.049 8.582
Zn 6.421 3.748 7.083
Sm 3.226 3.748 5.612
Zn 4.865 1.301 7.065
Zn 3.463 6.863 4.289
Zn 2.345 3.114 2.512
Zn 6.688 4.383 9.900
Zn 0.000 0.000 0.000
Zn 1.586 1.301 4.159
Al 4.838 5.623 8.417
Zn 1.617 2.448 8.299
Al 6.436 1.874 9.153
Zn 4.077 0.634 4.571
Zn 4.835 2.448 2.924
Zn 4.221 5.049 2.642
Al 8.004 5.623 5.748
```

---

Relative energy table, unit meV/atom: (i) 139; (ii) 0

---

(i)
Sm8AlZn2 | PBE | relaxed

Calculated values
The magnetic moment is 0.00 μB per formula unit.

```
11
Lattice="-2.436 3.695 2.709 -5.323 0.044 -4.847 -0.655 -7.849 5.149" Properties=species:S:1:pos:R:3 pbc="T T T"
Al -1.218 1.847 1.354
Sm -4.037 0.768 0.291
Zn -4.003 -1.986 4.079
Sm -4.215 -0.279 -3.411
Zn -4.411 -2.124 -1.069
Sm -6.042 -1.793 1.982
Sm -4.199 -3.832 6.421
Sm -7.066 -0.165 -1.160
Sm -4.377 -4.879 2.719
Sm -2.372 -2.317 1.028
Sm -1.347 -3.945 4.170
```

---

(ii)
Sm8AlZn2 | PBE | relaxed

Calculated values
The magnetic moment is 0.00 μB per formula unit.

```
11
Lattice="-4.972 -0.632 -0.441 0.865 -1.001 -8.325 2.894 -6.469 5.346" Properties=species:S:1:pos:R:3 pbc="T T T"
Sm -1.442 -6.114 -3.683
Sm 0.375 -4.701 2.510
Sm -1.974 -2.953 -2.211
Zn -1.970 -4.786 0.370
Sm 0.762 -5.148 -1.209
Sm 0.273 -0.315 -2.622
Sm -1.587 -3.400 -5.931
Sm 0.229 -1.988 0.263
Zn 0.758 -3.316 -3.791
Al -2.486 -0.316 -0.220
Sm -1.485 -7.786 -0.798
```

---

Relative energy table, unit meV/atom: (i) 0; (ii) 42

---

(i)
Sm8Al2Zn | PBE | relaxed

Calculated values
The magnetic moment is 0.00 μB per formula unit.

```
11
Lattice="4.867 0.000 -1.481 -1.274 7.371 -4.186 0.022 0.022 8.808" Properties=species:S:1:pos:R:3 pbc="T T T"
Sm 1.524 0.911 5.007
Al 3.540 2.257 2.896
Sm 3.109 6.363 1.480
Sm -0.409 2.369 -1.345
Sm 2.652 3.235 -0.021
Sm 4.024 5.024 4.486
Sm 0.962 4.158 3.162
Sm 0.505 1.030 1.661
Sm 2.091 6.483 -1.866
Al 0.074 5.136 0.244
Zn 2.433 0.000 -0.741
```

---

(ii)
Sm8Al2Zn | PBE | relaxed

Calculated values
The magnetic moment is 0.00 μB per formula unit.

```
11
Lattice="5.186 0.000 0.000 0.000 6.814 0.266 -2.593 -2.587 8.969" Properties=species:S:1:pos:R:3 pbc="T T T"
Sm 2.593 -0.934 8.687
Zn 2.593 0.000 0.000
Sm 0.000 1.553 7.415
Sm 2.593 3.267 5.472
Sm 2.593 5.781 3.070
Sm 0.000 5.161 0.548
Al 2.593 0.147 5.704
Al 0.000 4.080 3.530
Sm 0.000 0.961 3.763
Sm 0.000 -1.553 6.165
Sm 2.593 2.675 1.820
```

---

Relative energy table, unit meV/atom: (i) 52; (ii) 0